Material: YErCr2O8
Method: DFT, PBE+U
State: optimized geometry

The structure in CIF format:
```
data_YErCr2O8
_chemical_formula_sum 'Y2 Er2 Cr4 O16'
_cell_length_a 7.191
_cell_length_b 7.191
_cell_length_c 6.280
_cell_angle_alpha 90.00
_cell_angle_beta 90.00
_cell_angle_gamma 90.00
_space_group_name_H-M_alt 'I -4 m 2'
_space_group_IT_number 119
_space_group_name_Hall 'I -4 -2'
loop_
_atom_site_label
_atom_site_fract_x
_atom_site_fract_y
_atom_site_fract_z
_atom_site_occupancy
Y1 0.000 0.000 0.000 1
Er1 0.000 0.500 0.750 1
Cr1 0.000 0.000 0.500 1
Cr2 0.000 0.500 0.250 1
O1 0.000 0.186 0.674 1
O2 0.000 0.317 0.074 1
```

Values from the calculation:
Crystal system   tetragonal
VASP energy   -7.7987 eV/atom